The following is a DFT calculation (PBE) of a geometry-optimized FeBSb3 structure.

abc: 4.682 4.682 4.682
angles: 90.00 90.00 90.00
Positions (direct):
Sb 0.000 0.500 0.000
Sb 0.000 0.000 0.500
Sb 0.500 0.000 0.000
B 0.000 0.000 0.000
Fe 0.500 0.500 0.500

Properties
The value obtained for the energy above the most stable polymorph in this dataset is 5.0 kJ per mole of atoms. As for the calculated volume: 103 Å³/f.u. The raw formation energy is 1.242 eV/atom. The density of states at the Fermi level comes out at 9.27 states/eV/cell.